--- one ---
This record from the Alexandria database describes a relaxed HfAsPtSe2 crystal. The functional is PBE-GGA.

Cell: 4.9180 4.9180 4.8057 Å, 90.00 90.00 90.00°
Space group P4/mmm (No. 123)
Unique sites:
Hf: 0.0000 0.0000 0.0000 (multiplicity 1)
As: 0.5000 0.5000 0.0000 (multiplicity 1)
Pt: 0.5000 0.5000 0.5000 (multiplicity 1)
Se: 0.0000 0.5000 0.5000 (multiplicity 2)

Properties
The value obtained for the density of states at the Fermi level is 2.73 states/eV per cell. The calculation puts the density at 8.7 g/cm³.



--- two ---
This record from the Alexandria database describes a relaxed HfAsPtSe2 crystal. The functional is PBE-GGA.

Cell: 5.0361 5.0361 5.2025 Å, 90.00 90.00 90.00°
Space group P4/mmm (No. 123)
Unique sites:
Hf: 0.0000 0.0000 0.0000 (multiplicity 1)
As: 0.0000 0.0000 0.5000 (multiplicity 1)
Pt: 0.5000 0.5000 0.5000 (multiplicity 1)
Se: 0.0000 0.5000 0.0000 (multiplicity 2)

Properties
The value obtained for the density of states at the Fermi level is 6.31 states/eV per cell. The calculation puts the density at 7.6 g/cm³.



Stability ranking, top entry: one; the second entry is 0.046 eV/atom less favorable.



--- one ---
This record from the Alexandria database describes a relaxed RbHfAs2 crystal. The functional is PBE-GGA.

Cell: 4.0306 4.0306 23.8704 Å, 90.00 90.00 120.00°
Space group R-3m (No. 166, hexagonal axes)
Unique sites:
Rb: 0.0000 0.0000 0.0000 (multiplicity 3)
Hf: 0.0000 0.0000 0.5000 (multiplicity 3)
As: 0.0000 0.0000 0.2261 (multiplicity 6)

Properties
The value obtained for the density of states at the Fermi level is 7.21 states/eV per cell. The calculation puts the density at 6.1 g/cm³.



--- two ---
This record from the Alexandria database describes a relaxed RbHfAs2 crystal. The functional is PBE-GGA.

Cell: 6.4892 6.4892 15.4867 Å, 90.00 90.00 90.00°
Space group I-42d (No. 122)
Unique sites:
Rb: 0.0000 0.0000 0.0000 (multiplicity 4)
Hf: 0.0000 0.0000 0.5000 (multiplicity 4)
As: 0.0044 0.2500 0.6250 (multiplicity 8)

Properties
The value obtained for the density of states at the Fermi level is 5.23 states/eV per cell. The calculation puts the density at 4.2 g/cm³.



--- three ---
This record from the Alexandria database describes a relaxed RbHfAs2 crystal. The functional is PBE-GGA.

Cell: 7.1950 7.1950 7.1950 Å, 90.00 90.00 90.00°
Space group Fm-3m (No. 225)
Unique sites:
Rb: 0.0000 0.0000 0.0000 (multiplicity 4)
Hf: 0.0000 0.0000 0.5000 (multiplicity 4)
As: 0.2500 0.2500 0.2500 (multiplicity 8)

Properties
The value obtained for the density of states at the Fermi level is 7.85 states/eV per cell. The calculation puts the density at 7.4 g/cm³.



Stability ranking, top entry: one; the second entry is 0.239 eV/atom less favorable.



--- one ---
This record from the Alexandria database describes a relaxed RbHf3As crystal. The functional is PBE-GGA.

Cell: 5.1851 5.1851 5.1851 Å, 90.00 90.00 90.00°
Space group Pm-3m (No. 221)
Unique sites:
Rb: 0.0000 0.0000 0.0000 (multiplicity 1)
Hf: 0.0000 0.5000 0.5000 (multiplicity 3)
As: 0.5000 0.5000 0.5000 (multiplicity 1)

Properties
The value obtained for the density of states at the Fermi level is 7.00 states/eV per cell. The calculation puts the density at 8.3 g/cm³.



--- two ---
This record from the Alexandria database describes a relaxed RbHf3As crystal. The functional is PBE-GGA.

Cell: 5.0338 5.0338 5.0338 Å, 90.00 90.00 90.00°
Space group Pm-3m (No. 221)
Unique sites:
Rb: 0.0000 0.0000 0.0000 (multiplicity 1)
Hf: 0.0000 0.0000 0.5000 (multiplicity 3)
As: 0.5000 0.5000 0.5000 (multiplicity 1)

Properties
The value obtained for the density of states at the Fermi level is 8.21 states/eV per cell. The calculation puts the density at 9.1 g/cm³.



Stability ranking, top entry: one; the second entry is 1.670 eV/atom less favorable.



--- one ---
This record from the Alexandria database describes a relaxed RbHfAs2Se crystal. The functional is PBE-GGA.

Cell: 5.2429 5.2429 5.3096 Å, 90.00 90.00 90.00°
Space group P4/mmm (No. 123)
Unique sites:
Rb: 0.0000 0.0000 0.0000 (multiplicity 1)
Hf: 0.5000 0.5000 0.5000 (multiplicity 1)
As: 0.0000 0.5000 0.5000 (multiplicity 2)
Se: 0.5000 0.5000 0.0000 (multiplicity 1)

Properties
The value obtained for the density of states at the Fermi level is 4.78 states/eV per cell. The calculation puts the density at 5.6 g/cm³.



--- two ---
This record from the Alexandria database describes a relaxed RbHfAs2Se crystal. The functional is PBE-GGA.

Cell: 5.2609 5.2609 5.4417 Å, 90.00 90.00 90.00°
Space group P4/mmm (No. 123)
Unique sites:
Rb: 0.0000 0.0000 0.0000 (multiplicity 1)
Hf: 0.5000 0.5000 0.5000 (multiplicity 1)
As: 0.0000 0.5000 0.0000 (multiplicity 2)
Se: 0.0000 0.0000 0.5000 (multiplicity 1)

Properties
The value obtained for the density of states at the Fermi level is 5.78 states/eV per cell. The calculation puts the density at 5.4 g/cm³.



Stability ranking, top entry: one; the second entry is 2.119 eV/atom less favorable.



--- one ---
This record from the Alexandria database describes a relaxed HfRe3As crystal. The functional is PBE-GGA.

Cell: 4.5327 4.5327 4.5327 Å, 90.00 90.00 90.00°
Space group Pm-3m (No. 221)
Unique sites:
Hf: 0.0000 0.0000 0.0000 (multiplicity 1)
Re: 0.0000 0.5000 0.5000 (multiplicity 3)
As: 0.5000 0.5000 0.5000 (multiplicity 1)

Properties
The value obtained for the density of states at the Fermi level is 3.80 states/eV per cell. The calculation puts the density at 14.5 g/cm³.



--- two ---
This record from the Alexandria database describes a relaxed HfRe3As crystal. The functional is PBE-GGA.

Cell: 4.8109 4.8109 4.8109 Å, 90.00 90.00 90.00°
Space group Pm-3m (No. 221)
Unique sites:
Hf: 0.0000 0.0000 0.0000 (multiplicity 1)
Re: 0.0000 0.0000 0.5000 (multiplicity 3)
As: 0.5000 0.5000 0.5000 (multiplicity 1)

Properties
The value obtained for the density of states at the Fermi level is 4.54 states/eV per cell. The calculation puts the density at 12.1 g/cm³.



Stability ranking, top entry: one; the second entry is 1.588 eV/atom less favorable.



--- one ---
This record from the Alexandria database describes a relaxed HfAsRh3 crystal. The functional is PBE-GGA.

Cell: 4.7634 4.7634 4.7634 Å, 90.00 90.00 90.00°
Space group Pm-3m (No. 221)
Unique sites:
Hf: 0.0000 0.0000 0.0000 (multiplicity 1)
As: 0.5000 0.5000 0.5000 (multiplicity 1)
Rh: 0.0000 0.0000 0.5000 (multiplicity 3)

Properties
The value obtained for the density of states at the Fermi level is 6.00 states/eV per cell. The calculation puts the density at 8.6 g/cm³.



--- two ---
This record from the Alexandria database describes a relaxed HfAsRh3 crystal. The functional is PBE-GGA.

Cell: 4.5166 4.5166 4.5166 Å, 90.00 90.00 90.00°
Space group Pm-3m (No. 221)
Unique sites:
Hf: 0.0000 0.0000 0.0000 (multiplicity 1)
As: 0.5000 0.5000 0.5000 (multiplicity 1)
Rh: 0.0000 0.5000 0.5000 (multiplicity 3)

Properties
The value obtained for the density of states at the Fermi level is 14.51 states/eV per cell. The calculation puts the density at 10.1 g/cm³.



Stability ranking, top entry: two; the second entry is 0.825 eV/atom less favorable.



--- one ---
This record from the Alexandria database describes a relaxed HfAs3Ru crystal. The functional is PBE-GGA.

Cell: 4.7578 4.7578 4.7578 Å, 90.00 90.00 90.00°
Space group Pm-3m (No. 221)
Unique sites:
Hf: 0.0000 0.0000 0.0000 (multiplicity 1)
As: 0.0000 0.5000 0.5000 (multiplicity 3)
Ru: 0.5000 0.5000 0.5000 (multiplicity 1)

Properties
The value obtained for the density of states at the Fermi level is 7.68 states/eV per cell. The calculation puts the density at 7.8 g/cm³.



--- two ---
This record from the Alexandria database describes a relaxed HfAs3Ru crystal. The functional is PBE-GGA.

Cell: 5.0663 5.0663 5.0663 Å, 90.00 90.00 90.00°
Space group Pm-3m (No. 221)
Unique sites:
Hf: 0.0000 0.0000 0.0000 (multiplicity 1)
As: 0.0000 0.0000 0.5000 (multiplicity 3)
Ru: 0.5000 0.5000 0.5000 (multiplicity 1)

Properties
The value obtained for the density of states at the Fermi level is 5.95 states/eV per cell. The calculation puts the density at 6.4 g/cm³.



Stability ranking, top entry: one; the second entry is 0.389 eV/atom less favorable.



--- one ---
This record from the Alexandria database describes a relaxed HfAsRu3 crystal. The functional is PBE-GGA.

Cell: 4.4744 4.4744 4.4744 Å, 90.00 90.00 90.00°
Space group Pm-3m (No. 221)
Unique sites:
Hf: 0.0000 0.0000 0.0000 (multiplicity 1)
As: 0.5000 0.5000 0.5000 (multiplicity 1)
Ru: 0.0000 0.5000 0.5000 (multiplicity 3)

Properties
The value obtained for the density of states at the Fermi level is 3.93 states/eV per cell. The calculation puts the density at 10.3 g/cm³.



--- two ---
This record from the Alexandria database describes a relaxed HfAsRu3 crystal. The functional is PBE-GGA.

Cell: 4.7752 4.7752 4.7752 Å, 90.00 90.00 90.00°
Space group Pm-3m (No. 221)
Unique sites:
Hf: 0.0000 0.0000 0.0000 (multiplicity 1)
As: 0.5000 0.5000 0.5000 (multiplicity 1)
Ru: 0.0000 0.0000 0.5000 (multiplicity 3)

Properties
The value obtained for the density of states at the Fermi level is 7.33 states/eV per cell. The calculation puts the density at 8.5 g/cm³.



Stability ranking, top entry: one; the second entry is 1.302 eV/atom less favorable.



--- one ---
This record from the Alexandria database describes a relaxed Hf3AsRu crystal. The functional is PBE-GGA.

Cell: 4.8520 4.8520 4.8520 Å, 90.00 90.00 90.00°
Space group Pm-3m (No. 221)
Unique sites:
Hf: 0.0000 0.0000 0.5000 (multiplicity 3)
As: 0.0000 0.0000 0.0000 (multiplicity 1)
Ru: 0.5000 0.5000 0.5000 (multiplicity 1)

Properties
The value obtained for the density of states at the Fermi level is 5.03 states/eV per cell. The calculation puts the density at 10.3 g/cm³.



--- two ---
This record from the Alexandria database describes a relaxed Hf3AsRu crystal. The functional is PBE-GGA.

Cell: 4.9430 4.9430 4.9430 Å, 90.00 90.00 90.00°
Space group Pm-3m (No. 221)
Unique sites:
Hf: 0.0000 0.0000 0.5000 (multiplicity 3)
As: 0.5000 0.5000 0.5000 (multiplicity 1)
Ru: 0.0000 0.0000 0.0000 (multiplicity 1)

Properties
The value obtained for the density of states at the Fermi level is 4.94 states/eV per cell. The calculation puts the density at 9.8 g/cm³.



Stability ranking, top entry: two; the second entry is 0.268 eV/atom less favorable.



--- one ---
This record from the Alexandria database describes a relaxed HfAs2RuSe crystal. The functional is PBE-GGA.

Cell: 4.6302 4.6302 5.1472 Å, 90.00 90.00 90.00°
Space group P4/mmm (No. 123)
Unique sites:
Hf: 0.0000 0.0000 0.0000 (multiplicity 1)
As: 0.0000 0.5000 0.5000 (multiplicity 2)
Ru: 0.5000 0.5000 0.5000 (multiplicity 1)
Se: 0.5000 0.5000 0.0000 (multiplicity 1)

Properties
The value obtained for the density of states at the Fermi level is 5.31 states/eV per cell. The calculation puts the density at 7.6 g/cm³.



--- two ---
This record from the Alexandria database describes a relaxed HfAs2RuSe crystal. The functional is PBE-GGA.

Cell: 5.1120 5.1120 5.0488 Å, 90.00 90.00 90.00°
Space group P4/mmm (No. 123)
Unique sites:
Hf: 0.0000 0.0000 0.0000 (multiplicity 1)
As: 0.0000 0.5000 0.0000 (multiplicity 2)
Ru: 0.5000 0.5000 0.5000 (multiplicity 1)
Se: 0.0000 0.0000 0.5000 (multiplicity 1)

Properties
The value obtained for the density of states at the Fermi level is 5.48 states/eV per cell. The calculation puts the density at 6.4 g/cm³.



Stability ranking, top entry: one; the second entry is 0.314 eV/atom less favorable.



--- one ---
This record from the Alexandria database describes a relaxed Hf2As2S crystal. The functional is PBE-GGA.

Cell: 7.1596 7.1596 3.6681 Å, 90.00 90.00 90.00°
Space group P4/mbm (No. 127)
Unique sites:
Hf: 0.1633 0.3367 0.0000 (multiplicity 4)
As: 0.1359 0.6359 0.5000 (multiplicity 4)
S: 0.0000 0.0000 0.0000 (multiplicity 2)

Properties
The value obtained for the density of states at the Fermi level is 1.04 states/eV per cell. The calculation puts the density at 9.5 g/cm³.



--- two ---
This record from the Alexandria database describes a relaxed Hf2As2S crystal. The functional is PBE-GGA.

Cell: 7.3845 5.3931 11.2338 Å, 90.00 90.00 90.00°
Space group Pnma (No. 62)
Unique sites:
Hf: 0.1041 0.2500 0.2458 (multiplicity 4)
Hf: 0.1389 0.2500 0.5805 (multiplicity 4)
As: 0.0988 0.7500 0.2429 (multiplicity 4)
As: 0.1507 0.7500 0.5704 (multiplicity 4)
S: 0.1529 0.7500 0.9033 (multiplicity 4)

Properties
The value obtained for the density of states at the Fermi level is 4.20 states/eV per cell. The calculation puts the density at 8.0 g/cm³.



Stability ranking, top entry: two; the second entry is 0.030 eV/atom less favorable.



--- one ---
This record from the Alexandria database describes a relaxed HfAsSe2S crystal. The functional is PBE-GGA.

Cell: 5.0483 5.0483 5.4110 Å, 90.00 90.00 90.00°
Space group P4/mmm (No. 123)
Unique sites:
Hf: 0.0000 0.0000 0.0000 (multiplicity 1)
As: 0.0000 0.0000 0.5000 (multiplicity 1)
Se: 0.0000 0.5000 0.0000 (multiplicity 2)
S: 0.5000 0.5000 0.5000 (multiplicity 1)

Properties
The value obtained for the density of states at the Fermi level is 5.32 states/eV per cell. The calculation puts the density at 5.3 g/cm³.



--- two ---
This record from the Alexandria database describes a relaxed HfAsSe2S crystal. The functional is PBE-GGA.

Cell: 4.6855 4.6855 4.8507 Å, 90.00 90.00 90.00°
Space group P4/mmm (No. 123)
Unique sites:
Hf: 0.0000 0.0000 0.0000 (multiplicity 1)
As: 0.5000 0.5000 0.0000 (multiplicity 1)
Se: 0.0000 0.5000 0.5000 (multiplicity 2)
S: 0.5000 0.5000 0.5000 (multiplicity 1)

Properties
The value obtained for the density of states at the Fermi level is 1.75 states/eV per cell. The calculation puts the density at 6.9 g/cm³.



Stability ranking, top entry: one; the second entry is 0.155 eV/atom less favorable.



--- one ---
This record from the Alexandria database describes a relaxed Hf4Sb2As crystal. The functional is PBE-GGA.

Cell: 4.8404 4.8404 14.8770 Å, 90.00 90.00 90.00°
Space group I4/mmm (No. 139)
Unique sites:
Hf: 0.0000 0.0000 0.1732 (multiplicity 4)
Hf: 0.0000 0.5000 0.0000 (multiplicity 4)
Sb: 0.0000 0.0000 0.3650 (multiplicity 4)
As: 0.0000 0.0000 0.0000 (multiplicity 2)

Properties
The value obtained for the density of states at the Fermi level is 16.73 states/eV per cell. The calculation puts the density at 9.8 g/cm³.



--- two ---
This record from the Alexandria database describes a relaxed Hf4Sb2As crystal. The functional is PBE-GGA.

Cell: 14.5770 3.7134 6.6930 Å, 90.00 117.21 90.00°
Space group C2/m (No. 12)
Unique sites:
Hf: 0.0889 0.0000 0.4460 (multiplicity 4)
Hf: 0.1070 0.5000 0.9072 (multiplicity 4)
Sb: 0.2454 0.0000 0.2698 (multiplicity 4)
As: 0.0000 0.0000 0.0000 (multiplicity 2)

Properties
The value obtained for the density of states at the Fermi level is 7.61 states/eV per cell. The calculation puts the density at 10.6 g/cm³.



Stability ranking, top entry: two; the second entry is 0.390 eV/atom less favorable.